The following is a PBE calculation of BRuCl2 after structural relaxation, from Alexandria via LeMat-Bulk.

a = 3.090 Å, b = 3.090 Å, c = 21.422 Å
α = 90.00°, β = 90.00°, γ = 120.00°
Sites, in units of the cell vectors:
B1 0.000 0.000 0.000
B2 0.333 0.667 0.667
B3 0.667 0.333 0.333
Ru1 0.000 0.000 0.500
Ru2 0.333 0.667 0.167
Ru3 0.667 0.333 0.833
Cl1 0.000 0.000 0.396
Cl2 0.000 0.000 0.604
Cl3 0.333 0.667 0.062
Cl4 0.333 0.667 0.271
Cl5 0.667 0.333 0.729
Cl6 0.667 0.333 0.938

Calculated values
The energy above the most stable polymorph in this dataset comes out at 84 meV per atom. As for the formation energy without anion corrections: 1.0765 eV/atom. The crystal system is trigonal. As for the total energy: -3.8352 eV/atom. Its space group is No. 166.